# P2IrPt, relaxed, DFT PBE
data_P2IrPt
_symmetry_space_group_name_H-M 'R 3 m'
_symmetry_Int_Tables_number 160
_symmetry_space_group_name_Hall 'R 3 -2"'
_cell_length_a 3.4593
_cell_length_b 3.4593
_cell_length_c 20.3966
_cell_angle_alpha 90.00
_cell_angle_beta 90.00
_cell_angle_gamma 120.00
loop_
_atom_site_label
_atom_site_type_symbol
_atom_site_fract_x
_atom_site_fract_y
_atom_site_fract_z
P1 P 0.0000 0.0000 0.0000
P2 P 0.0000 0.0000 0.2114
Ir1 Ir 0.0000 0.0000 0.4943
Pt1 Pt 0.0000 0.0000 0.7228
# Crystal system   trigonal
# Energy   -0.243 hartree per atom
# Calculated density   10.59 g cm⁻³



# CsCSe2Br, relaxed, DFT PBE
data_CsCSe2Br
_symmetry_space_group_name_H-M 'P 4/m m m'
_symmetry_Int_Tables_number 123
_symmetry_space_group_name_Hall '-P 4 2'
_cell_length_a 5.949
_cell_length_b 5.949
_cell_length_c 6.648
_cell_angle_alpha 90.00
_cell_angle_beta 90.00
_cell_angle_gamma 90.00
loop_
_atom_site_label
_atom_site_type_symbol
_atom_site_fract_x
_atom_site_fract_y
_atom_site_fract_z
Cs1 Cs 0.000 0.000 0.000
C1 C 0.500 0.500 0.500
Se1 Se 0.000 0.500 0.000
Br1 Br 0.000 0.000 0.500
# Crystal system   tetragonal
# Calculated density   2.70 g cm⁻³
# E_form (uncorrected)   2.27 eV/atom



# Cs4CeHo3Se8, relaxed, DFT PBE
data_Cs4CeHo3Se8
_symmetry_space_group_name_H-M 'R -3 m'
_symmetry_Int_Tables_number 166
_symmetry_space_group_name_Hall '-R 3 2"'
_cell_length_a 8.6017
_cell_length_b 8.6017
_cell_length_c 25.1028
_cell_angle_alpha 90.00
_cell_angle_beta 90.00
_cell_angle_gamma 120.00
loop_
_atom_site_label
_atom_site_type_symbol
_atom_site_fract_x
_atom_site_fract_y
_atom_site_fract_z
Cs1 Cs 0.0000 0.0000 0.0000
Cs2 Cs 0.0000 0.5000 0.0000
Ce1 Ce 0.0000 0.0000 0.5000
Ho1 Ho 0.0000 0.5000 0.5000
Se1 Se 0.0000 0.0000 0.2279
Se2 Se 0.0084 0.5042 0.7713
# Crystal system   trigonal
# Calculated density   5.57 g cm⁻³
# E_form (uncorrected)   -1.70 eV/atom



# Zn2InFe2, relaxed, DFT PBE
data_Zn2InFe2
_symmetry_space_group_name_H-M 'I 4/m m m'
_symmetry_Int_Tables_number 139
_symmetry_space_group_name_Hall '-I 4 2'
_cell_length_a 3.653
_cell_length_b 3.653
_cell_length_c 12.194
_cell_angle_alpha 90.00
_cell_angle_beta 90.00
_cell_angle_gamma 90.00
loop_
_atom_site_label
_atom_site_type_symbol
_atom_site_fract_x
_atom_site_fract_y
_atom_site_fract_z
Zn1 Zn 0.000 0.000 0.106
In1 In 0.000 0.000 0.500
Fe1 Fe 0.000 0.500 0.250
# Crystal system   tetragonal
# Energy   -0.151 hartree per atom
# Calculated density   7.29 g cm⁻³



# GaGe2Au2, relaxed, DFT PBE
data_GaGe2Au2
_symmetry_space_group_name_H-M 'P 4/m b m'
_symmetry_Int_Tables_number 127
_symmetry_space_group_name_Hall '-P 4 2ab'
_cell_length_a 8.182
_cell_length_b 8.182
_cell_length_c 2.978
_cell_angle_alpha 90.00
_cell_angle_beta 90.00
_cell_angle_gamma 90.00
loop_
_atom_site_label
_atom_site_type_symbol
_atom_site_fract_x
_atom_site_fract_y
_atom_site_fract_z
Ga1 Ga 0.000 0.000 0.000
Ge1 Ge 0.142 0.358 0.000
Au1 Au 0.156 0.656 0.500
# Crystal system   tetragonal
# Energy   -0.134 hartree per atom
# Calculated density   10.15 g cm⁻³



# BaCa2Cu2, relaxed, DFT PBE
data_BaCa2Cu2
_symmetry_space_group_name_H-M 'I 4/m m m'
_symmetry_Int_Tables_number 139
_symmetry_space_group_name_Hall '-I 4 2'
_cell_length_a 5.373
_cell_length_b 5.373
_cell_length_c 11.480
_cell_angle_alpha 90.00
_cell_angle_beta 90.00
_cell_angle_gamma 90.00
loop_
_atom_site_label
_atom_site_type_symbol
_atom_site_fract_x
_atom_site_fract_y
_atom_site_fract_z
Ba1 Ba 0.000 0.000 0.000
Ca1 Ca 0.000 0.000 0.339
Cu1 Cu 0.000 0.500 0.250
# Crystal system   tetragonal
# Energy   -0.100 hartree per atom
# Calculated density   3.45 g cm⁻³



# Ga2H6Cl, relaxed, DFT PBE
data_Ga2H6Cl
_symmetry_space_group_name_H-M 'P -1'
_symmetry_Int_Tables_number 2
_cell_length_a 3.352
_cell_length_b 6.040
_cell_length_c 6.106
_cell_angle_alpha 102.25
_cell_angle_beta 91.20
_cell_angle_gamma 100.33
loop_
_symmetry_equiv_pos_as_xyz
'x,y,z'
'-x,-y,-z'
loop_
_atom_site_label
_atom_site_type_symbol
_atom_site_fract_x
_atom_site_fract_y
_atom_site_fract_z
Ga1 Ga 0.068 0.176 0.402
H1 H 0.266 0.651 0.149
H2 H 0.354 0.560 0.189
H3 H 0.389 0.706 0.605
Cl1 Cl 0.000 0.000 0.000
# Crystal system   triclinic
# Energy   -0.116 hartree per atom
# Calculated density   2.53 g cm⁻³



# Pm3Cd4In2Ag2, relaxed, DFT PBE
data_Pm3Cd4In2Ag2
_symmetry_space_group_name_H-M 'I 4/m m m'
_symmetry_Int_Tables_number 139
_symmetry_space_group_name_Hall '-I 4 2'
_cell_length_a 4.386
_cell_length_b 4.386
_cell_length_c 29.390
_cell_angle_alpha 90.00
_cell_angle_beta 90.00
_cell_angle_gamma 90.00
loop_
_atom_site_label
_atom_site_type_symbol
_atom_site_fract_x
_atom_site_fract_y
_atom_site_fract_z
Pm1 Pm 0.000 0.000 0.000
Pm2 Pm 0.000 0.000 0.206
Cd1 Cd 0.000 0.500 0.115
In1 In 0.000 0.000 0.453
Ag1 Ag 0.000 0.000 0.315
# Crystal system   tetragonal
# Energy   -0.105 hartree per atom
# Calculated density   7.81 g cm⁻³



# PaGaRe4, relaxed, DFT PBE
data_PaGaRe4
_symmetry_space_group_name_H-M 'F -4 3 m'
_symmetry_Int_Tables_number 216
_symmetry_space_group_name_Hall 'F -4 2 3'
_cell_length_a 7.553
_cell_length_b 7.553
_cell_length_c 7.553
_cell_angle_alpha 90.00
_cell_angle_beta 90.00
_cell_angle_gamma 90.00
loop_
_atom_site_label
_atom_site_type_symbol
_atom_site_fract_x
_atom_site_fract_y
_atom_site_fract_z
Pa1 Pa 0.000 0.000 0.000
Ga1 Ga 0.250 0.250 0.750
Re1 Re 0.124 0.124 0.376
# Crystal system   cubic
# Energy   -0.376 hartree per atom
# Calculated density   16.12 g cm⁻³



# Rb3LaNd2Se6, relaxed, DFT PBE
data_Rb3LaNd2Se6
_symmetry_space_group_name_H-M 'C 1 2/m 1'
_symmetry_Int_Tables_number 12
_cell_length_a 7.636
_cell_length_b 13.226
_cell_length_c 8.413
_cell_angle_alpha 90.00
_cell_angle_beta 107.61
_cell_angle_gamma 90.00
loop_
_symmetry_equiv_pos_as_xyz
'x,y,z'
'-x,-y,-z'
'-x,y,-z'
'x,-y,z'
'x+1/2,y+1/2,z'
'-x+1/2,-y+1/2,-z'
'-x+1/2,y+1/2,-z'
'x+1/2,-y+1/2,z'
loop_
_atom_site_label
_atom_site_type_symbol
_atom_site_fract_x
_atom_site_fract_y
_atom_site_fract_z
Rb1 Rb 0.000 0.000 0.000
Rb2 Rb 0.000 0.334 0.000
La1 La 0.000 0.500 0.500
Nd1 Nd 0.000 0.167 0.500
Se1 Se 0.230 0.000 0.701
Se2 Se 0.236 0.332 0.701
# Crystal system   monoclinic
# Calculated density   4.75 g cm⁻³
# E_form (uncorrected)   -1.76 eV/atom



# UAg3Br2Cl6, relaxed, DFT PBE
data_UAg3Br2Cl6
_symmetry_space_group_name_H-M 'C 1 2/m 1'
_symmetry_Int_Tables_number 12
_cell_length_a 15.033
_cell_length_b 7.997
_cell_length_c 6.551
_cell_angle_alpha 90.00
_cell_angle_beta 107.21
_cell_angle_gamma 90.00
loop_
_symmetry_equiv_pos_as_xyz
'x,y,z'
'-x,-y,-z'
'-x,y,-z'
'x,-y,z'
'x+1/2,y+1/2,z'
'-x+1/2,-y+1/2,-z'
'-x+1/2,y+1/2,-z'
'x+1/2,-y+1/2,z'
loop_
_atom_site_label
_atom_site_type_symbol
_atom_site_fract_x
_atom_site_fract_y
_atom_site_fract_z
U1 U 0.000 0.000 0.000
Ag1 Ag 0.000 0.500 0.500
Ag2 Ag 0.250 0.250 0.000
Br1 Br 0.168 0.500 0.751
Cl1 Cl 0.095 0.227 0.237
Cl2 Cl 0.112 0.000 0.771
# Crystal system   monoclinic
# Calculated density   4.12 g cm⁻³
# E_form (uncorrected)   -0.99 eV/atom



# Pu3ScH8, relaxed, DFT PBE
data_Pu3ScH8
_symmetry_space_group_name_H-M 'P m -3 m'
_symmetry_Int_Tables_number 221
_symmetry_space_group_name_Hall '-P 4 2 3'
_cell_length_a 5.145
_cell_length_b 5.145
_cell_length_c 5.145
_cell_angle_alpha 90.00
_cell_angle_beta 90.00
_cell_angle_gamma 90.00
loop_
_atom_site_label
_atom_site_type_symbol
_atom_site_fract_x
_atom_site_fract_y
_atom_site_fract_z
Pu1 Pu 0.000 0.000 0.500
Sc1 Sc 0.500 0.500 0.500
H1 H 0.265 0.265 0.265
# Crystal system   cubic
# Energy   -0.249 hartree per atom
# Calculated density   9.57 g cm⁻³